Entry from Alexandria: a geometry-optimized AsRu2Au structure (PBE).

CIF file:
```
data_AsRu2Au
_cell_length_a 2.9915
_cell_length_b 3.8843
_cell_length_c 5.5652
_cell_angle_alpha 90.00
_cell_angle_beta 105.01
_cell_angle_gamma 90.00
_symmetry_space_group_name_H-M 'P 1'
_symmetry_Int_Tables_number 1
loop_
_symmetry_equiv_pos_as_xyz
'x,y,z'
loop_
_atom_site_label
_atom_site_type_symbol
_atom_site_fract_x
_atom_site_fract_y
_atom_site_fract_z
As1 As 0.0000 0.0000 0.0000
Ru1 Ru 0.3636 0.5000 0.2250
Ru2 Ru 0.6364 0.5000 0.7750
Au1 Au 0.0000 0.0000 0.5000
```

* energy relative to the elements: 0.18 eV/atom
* electronic total energy: -6.442 eV/atom